one) CeHf2Th | GGA-PBE | relaxed

Cell: 3.3300 3.3300 11.0319 Å, 81.32 81.32 60.00°
Atoms (fractional coordinates):
Hf 0.2514 0.2514 0.2457
Hf 0.7486 0.7486 0.7543
Ce 0.0000 0.0000 0.0000
Th 0.5000 0.5000 0.5000

Calculated values
Space-group type = No. 166
Density of states at the Fermi level = 8.421 states/eV/f.u.



two) CeHf2Th | GGA-PBE | relaxed

Cell: 4.8900 4.6266 4.6266 Å, 90.00 90.00 90.00°
Atoms (fractional coordinates):
Hf 0.0000 0.0000 0.5000
Hf 0.0000 0.5000 0.0000
Th 0.5000 0.5000 0.5000
Ce 0.5000 0.0000 0.0000

Calculated values
Space-group type = No. 123
Density of states at the Fermi level = 7.384 states/eV/f.u.



Q: Which of them is the most stable? A: two).



one) CeHfTi | GGA-PBE | relaxed

Cell: 3.0553 4.9888 8.9179 Å, 90.01 99.85 90.00°
Atoms (fractional coordinates):
Ce 0.0428 0.7500 0.5859
Ce 0.9572 0.2500 0.4141
Ti 0.2781 0.2498 0.0564
Ti 0.7219 0.7502 0.9436
Hf 0.3644 0.7500 0.2288
Hf 0.6356 0.2500 0.7712

Calculated values
Space-group type = No. 63
Density of states at the Fermi level = 5.744 states/eV/f.u.



two) CeHfTi | GGA-PBE | relaxed

Cell: 3.1787 5.0047 5.0047 Å, 120.00 90.00 90.00°
Atoms (fractional coordinates):
Ce 0.6612 0.6667 0.3333
Ti 0.2215 0.3333 0.6667
Hf 0.1173 0.0000 0.0000

Calculated values
Space-group type = No. 156
Density of states at the Fermi level = 4.903 states/eV/f.u.



Q: Which of them is the most stable? A: one).



one) CeHf2Ti | GGA-PBE | relaxed

Cell: 3.1236 3.1236 10.6571 Å, 81.58 81.58 59.98°
Atoms (fractional coordinates):
Hf 0.0759 0.0759 0.7730
Hf 0.2571 0.2571 0.2281
Ti 0.6668 0.6668 0.9993
Ce 0.5002 0.5002 0.4996

Calculated values
Space-group type = No. 160
Density of states at the Fermi level = 7.474 states/eV/f.u.



two) CeHf2Ti | GGA-PBE | relaxed

Cell: 4.9579 4.9579 5.0678 Å, 60.71 60.71 60.00°
Atoms (fractional coordinates):
Ti 0.5000 0.5000 0.5000
Hf 0.2358 0.2358 0.2927
Hf 0.7642 0.7642 0.7073
Ce 0.0000 0.0000 0.0000

Calculated values
Space-group type = No. 166
Density of states at the Fermi level = 9.333 states/eV/f.u.



three) CeHf2Ti | GGA-PBE | relaxed

Cell: 4.4787 4.4712 4.4712 Å, 90.00 90.00 90.00°
Atoms (fractional coordinates):
Ti 0.5000 0.5000 0.5000
Ce 0.5000 0.0000 0.0000
Hf 0.0000 0.0000 0.5000
Hf 0.0000 0.5000 0.0000

Calculated values
Space-group type = No. 123
Density of states at the Fermi level = 6.747 states/eV/f.u.



Q: Which of them is the most stable? A: one).